No. 1
This record from the Alexandria database describes Pm2Al2Cu15 after structural relaxation. The functional is GGA-PBE.

Calculated formation energy, eV per atom: -0.162
Space-group type: R-3m (166)
Calculated total energy, eV/atom: -4.2896

a b c (Å): 6.5516 6.5516 6.5516
angles (deg): 82.37 82.37 82.37
Closest atoms and distances in Å follow each position.
Element x y z (fractional)
Pm (0.1499, 0.1499, 0.1499)  15 Cu 3.04-3.29, 1 Al 3.15
Pm (0.8501, 0.8501, 0.8501)  15 Cu 3.04-3.29, 1 Al 3.15
Al (0.3966, 0.3966, 0.3966)  12 Cu 2.62-2.86, 1 Al 2.64
Al (0.6034, 0.6034, 0.6034)  12 Cu 2.62-2.86, 1 Al 2.64
Cu (0.0000, 0.5000, 0.5000)  8 Cu 2.49, 2 Al 2.62
Cu (0.1533, 0.1533, 0.6503)  8 Cu 2.49-2.65, 1 Al 2.67
Cu (0.1533, 0.6503, 0.1533)  8 Cu 2.49-2.65, 1 Al 2.67
Cu (0.2061, 0.5000, 0.7939)  8 Cu 2.49-2.65
Cu (0.2061, 0.7939, 0.5000)  8 Cu 2.49-2.65
Cu (0.3497, 0.8467, 0.8467)  8 Cu 2.49-2.65, 1 Al 2.67
Cu (0.5000, 0.0000, 0.5000)  8 Cu 2.49, 2 Al 2.62
Cu (0.5000, 0.2061, 0.7939)  8 Cu 2.49-2.65
Cu (0.5000, 0.5000, 0.0000)  8 Cu 2.49, 2 Al 2.62
Cu (0.5000, 0.7939, 0.2061)  8 Cu 2.49-2.65
Cu (0.6503, 0.1533, 0.1533)  8 Cu 2.49-2.65, 1 Al 2.67
Cu (0.7939, 0.2061, 0.5000)  8 Cu 2.49-2.65
Cu (0.7939, 0.5000, 0.2061)  8 Cu 2.49-2.65
Cu (0.8467, 0.3497, 0.8467)  8 Cu 2.49-2.65, 1 Al 2.67
Cu (0.8467, 0.8467, 0.3497)  8 Cu 2.49-2.65, 1 Al 2.67

=====

No. 2
This record from the Alexandria database describes InIr2Br after structural relaxation. The functional is GGA-PBE.

E_form (uncorrected), eV/atom: 0.7049
Space-group type: Pmmm (47)
Calculated total energy, eV/atom: -4.8285

a b c (Å): 3.0682 3.7269 6.3003
angles (deg): 90.00 90.00 90.00
Closest atoms and distances in Å follow each position.
Element x y z (fractional)
In (0.0000, 0.0000, 0.0000)  8 Ir 2.80, 2 In 3.07
Ir (0.5000, 0.5000, 0.2239)  4 In 2.80, 3 Ir 2.82-3.07, 4 Br 2.98
Ir (0.5000, 0.5000, 0.7761)  4 In 2.80, 3 Ir 2.82-3.07, 4 Br 2.98
Br (0.0000, 0.0000, 0.5000)  8 Ir 2.98, 2 Br 3.07, 2 In 3.15